No. 1
First-principles (PBE-GGA) data for a relaxed Ag23BiPd6 crystal, as listed in Alexandria.

Lattice parameters (Å, degrees): 8.142 8.142 16.627 90.00 90.00 90.00
Space group I4/mmm (No. 139)
Symmetry-distinct sites (fractional):
Ag: 0.000 0.000 0.000 [2 per cell]
Ag: 0.000 0.249 0.126 [16 per cell]
Ag: 0.000 0.258 0.369 [16 per cell]
Ag: 0.000 0.500 0.000 [4 per cell]
Ag: 0.250 0.250 0.250 [8 per cell]
Bi: 0.000 0.000 0.500 [2 per cell]
Pd: 0.000 0.000 0.250 [4 per cell]
Pd: 0.248 0.248 0.500 [8 per cell]

Calculated values
Total DFT energy (no corrections) (eV per atom): -3.34
Energy of formation (eV/atom): 0.0139
Total magnetization (μB/atom): 0.000
Calculated volume (Å³ per atom): 18.4

No. 2
First-principles (PBE-GGA) data for a relaxed Ag2Bi2Pd5 crystal, as listed in Alexandria.

Lattice parameters (Å, degrees): 13.114 4.311 6.292 90.00 108.96 90.00
Space group C2/m (No. 12)
Symmetry-distinct sites (fractional):
Ag: 0.215 0.000 0.347 [4 per cell]
Bi: 0.140 0.500 0.968 [4 per cell]
Pd: 0.000 0.000 0.000 [2 per cell]
Pd: 0.065 0.500 0.357 [4 per cell]
Pd: 0.105 0.000 0.662 [4 per cell]

Calculated values
Total DFT energy (no corrections) (eV per atom): -4.50
Energy of formation (eV/atom): -0.1237
Total magnetization (μB/atom): 0.000
Calculated volume (Å³ per atom): 18.7

No. 3
First-principles (PBE-GGA) data for a relaxed Ag2BiPd5 crystal, as listed in Alexandria.

Lattice parameters (Å, degrees): 7.108 7.108 11.248 90.00 90.00 90.00
Space group I4/mcm (No. 140)
Symmetry-distinct sites (fractional):
Ag: 0.145 0.355 0.000 [8 per cell]
Bi: 0.000 0.000 0.250 [4 per cell]
Pd: 0.000 0.000 0.000 [4 per cell]
Pd: 0.146 0.354 0.334 [16 per cell]

Calculated values
Total DFT energy (no corrections) (eV per atom): -4.48
Energy of formation (eV/atom): -0.0367
Total magnetization (μB/atom): 0.000
Excess energy over the best structure of this formula in the dataset (kJ per mole of atoms): 11.8
Calculated volume (Å³ per atom): 17.8

No. 4
First-principles (PBE-GGA) data for a relaxed Ag2BiPd6 crystal, as listed in Alexandria.

Lattice parameters (Å, degrees): 9.959 11.908 5.447 90.00 103.35 90.00
Space group C2/c (No. 15)
Symmetry-distinct sites (fractional):
Ag: 0.138 0.015 0.378 [8 per cell]
Bi: 0.000 0.400 0.250 [4 per cell]
Pd: 0.038 0.194 0.010 [8 per cell]
Pd: 0.144 0.387 0.783 [8 per cell]
Pd: 0.243 0.183 0.712 [8 per cell]

Calculated values
Total DFT energy (no corrections) (eV per atom): -4.56
Energy of formation (eV/atom): -0.0331
Total magnetization (μB/atom): 0.000
Excess energy over the best structure of this formula in the dataset (kJ per mole of atoms): 0.0
Calculated volume (Å³ per atom): 17.5

No. 5
First-principles (PBE-GGA) data for a relaxed Ag5BiPd8 crystal, as listed in Alexandria.

Lattice parameters (Å, degrees): 7.940 7.940 7.979 90.00 90.00 90.00
Space group I-4 (No. 82)
Symmetry-distinct sites (fractional):
Ag: 0.000 0.000 0.000 [2 per cell]
Ag: 0.110 0.196 0.589 [8 per cell]
Bi: 0.000 0.500 0.250 [2 per cell]
Pd: 0.061 0.339 0.909 [8 per cell]
Pd: 0.117 0.188 0.248 [8 per cell]

Calculated values
Total DFT energy (no corrections) (eV per atom): -4.20
Energy of formation (eV/atom): 0.0614
Total magnetization (μB/atom): 0.000
Calculated volume (Å³ per atom): 18.0

No. 6
First-principles (PBE-GGA) data for a relaxed PrAgBiPd crystal, as listed in Alexandria.

Lattice parameters (Å, degrees): 7.216 7.216 7.216 90.00 90.00 90.00
Space group F-43m (No. 216)
Symmetry-distinct sites (fractional):
Pr: 0.000 0.000 0.000 [4 per cell]
Ag: 0.250 0.250 0.750 [4 per cell]
Bi: 0.000 0.000 0.500 [4 per cell]
Pd: 0.250 0.250 0.250 [4 per cell]

Calculated values
Total DFT energy (no corrections) (eV per atom): -4.67
Energy of formation (eV/atom): -0.4933
Total magnetization (μB/atom): 0.000
Calculated volume (Å³ per atom): 23.5

No. 7
First-principles (PBE-GGA) data for a relaxed AgBiPdPt crystal, as listed in Alexandria.

Lattice parameters (Å, degrees): 6.704 6.704 6.704 90.00 90.00 90.00
Space group F-43m (No. 216)
Symmetry-distinct sites (fractional):
Ag: 0.000 0.000 0.000 [4 per cell]
Bi: 0.000 0.000 0.500 [4 per cell]
Pd: 0.250 0.250 0.750 [4 per cell]
Pt: 0.250 0.250 0.250 [4 per cell]

Calculated values
Total DFT energy (no corrections) (eV per atom): -4.60
Energy of formation (eV/atom): -0.1118
Total magnetization (μB/atom): 0.000
Calculated volume (Å³ per atom): 18.8

No. 8
First-principles (PBE-GGA) data for a relaxed PuAgBiPd crystal, as listed in Alexandria.

Lattice parameters (Å, degrees): 7.124 7.124 7.124 90.00 90.00 90.00
Space group F-43m (No. 216)
Symmetry-distinct sites (fractional):
Pu: 0.000 0.000 0.000 [4 per cell]
Ag: 0.250 0.250 0.250 [4 per cell]
Bi: 0.000 0.000 0.500 [4 per cell]
Pd: 0.250 0.250 0.750 [4 per cell]

Calculated values
Total DFT energy (no corrections) (eV per atom): -6.79
Energy of formation (eV/atom): -0.2297
Total magnetization (μB/atom): 1.368
Calculated volume (Å³ per atom): 22.6